## ZrScCo4 (PBE-GGA)

Data for crystalline ZrScCo4 at its relaxed geometry.

## Properties
- DOS at the Fermi energy: 30.1 states/eV/cell
- Formation energy from the elements: -336.4 meV/atom
- Size of the total moment: 2.68 μB per formula unit

Unit cell a=6.9011 b=6.9011 c=6.9011 alpha=90.00 beta=90.00 gamma=90.00
With the nearest neighbours (Å) after each atom.
Space group F-43m (No. 216)
Inequivalent atoms, fractional coordinates:
1 Zr 0.0000 0.0000 0.0000 x4  12 Co 2.86, 4 Sc 2.99
2 Sc 0.2500 0.2500 0.2500 x4  12 Co 2.86, 4 Zr 2.99
3 Co 0.1246 0.1246 0.6246 x16  6 Co 2.43-2.45